(1)
Computed, not measured: a geometry-optimized Dy3Tl5O12 structure at the PBE level of DFT.

Structure (extended XYZ):
```
80
Lattice="-6.7220 6.7220 6.7220 6.7220 -6.7220 6.7220 6.7220 6.7220 -6.7220" Properties=species:S:1:pos:R:3 pbc="T T T"
Dy 3.3610 1.6805 0.0000
Dy 6.7220 3.3610 -1.6805
Dy 1.6805 0.0000 3.3610
Dy 8.4025 0.0000 3.3610
Dy 0.0000 3.3610 1.6805
Dy 3.3610 -1.6805 6.7220
Dy 3.3610 8.4025 0.0000
Dy 6.7220 3.3610 5.0415
Dy -1.6805 6.7220 3.3610
Dy 5.0415 6.7220 3.3610
Dy 0.0000 3.3610 8.4025
Dy 3.3610 5.0415 6.7220
Tl 0.0000 0.0000 0.0000
Tl 3.3610 3.3610 -3.3610
Tl 3.3610 -3.3610 3.3610
Tl 6.7220 0.0000 0.0000
Tl 10.0830 1.6805 0.0000
Tl 6.7220 -3.3610 5.0415
Tl 5.0415 6.7220 -3.3610
Tl 5.0415 0.0000 3.3610
Tl 3.3610 5.0415 0.0000
Tl 6.7220 3.3610 1.6805
Tl -3.3610 3.3610 3.3610
Tl 0.0000 6.7220 0.0000
Tl 0.0000 0.0000 6.7220
Tl 3.3610 3.3610 3.3610
Tl 0.0000 3.3610 5.0415
Tl 3.3610 1.6805 6.7220
Tl 1.6805 6.7220 3.3610
Tl 1.6805 0.0000 10.0830
Tl 0.0000 10.0830 1.6805
Tl -3.3610 5.0415 6.7220
O 2.0812 -0.2146 0.9161
O 8.0018 4.2771 -3.5755
O 8.8031 0.2146 0.9161
O 8.0018 -2.4449 3.5755
O 6.5074 -0.9161 2.0812
O 10.2975 -1.2798 2.4449
O 0.9161 2.0812 -0.2146
O 9.1669 3.1464 -1.2798
O 4.2771 3.5755 -1.2798
O 5.8059 2.0812 0.2146
O -0.2146 0.9161 2.0812
O 3.5755 -1.2798 4.2771
O 6.5074 5.8059 -2.0812
O 3.5755 1.2798 2.4449
O 4.2771 -3.5755 8.0018
O 5.8059 -2.0812 6.5074
O 2.4449 3.5755 1.2798
O 7.6381 4.6408 0.2146
O 3.5755 8.0018 -2.4449
O 6.5074 0.9161 4.6408
O 2.0812 6.5074 -0.9161
O 8.0018 2.4449 3.1464
O 1.2798 2.4449 3.5755
O 2.0812 0.2146 5.8059
O 4.6408 6.5074 0.9161
O 5.4422 4.2771 3.1464
O -1.2798 4.2771 3.5755
O 4.6408 0.2146 7.6381
O 0.2146 5.8059 2.0812
O 3.1464 -1.2798 9.1669
O -0.9161 2.0812 6.5074
O 4.2771 3.1464 5.4422
O 0.9161 8.8031 0.2146
O 2.4449 10.2975 -1.2798
O 3.1464 5.4422 4.2771
O 0.2146 0.9161 8.8031
O 3.1464 8.0018 2.4449
O 6.9365 5.8059 4.6408
O 0.9161 4.6408 6.5074
O 2.4449 3.1464 8.0018
O -2.4449 3.5755 8.0018
O 5.8059 4.6408 6.9365
O -3.5755 8.0018 4.2771
O 0.2146 7.6381 4.6408
O -1.2798 9.1669 3.1464
O -2.0812 6.5074 5.8059
O -1.2798 2.4449 10.2975
O 4.6408 6.9365 5.8059
```

Values from the calculation:
DOS(E_F), states/eV/atom: 0.226
Energy relative to the elements, uncorrected, kJ/mol of formula units: -3186
Symmetry: Ia-3d, No. 230

---

(2)
Computed, not measured: a geometry-optimized Dy6Tl2O structure at the PBE level of DFT.

Structure (extended XYZ):
```
18
Lattice="6.6354 0.0000 0.0000 0.0000 6.6726 0.0000 -6.6111 0.0000 10.5797" Properties=species:S:1:pos:R:3 pbc="T T T"
Dy -2.0715 1.2838 5.2037
Dy -5.3770 2.0525 10.4936
Dy -3.1114 3.4470 7.9066
Dy 0.1941 6.5618 2.6168
Dy -1.2624 4.5768 5.1910
Dy -4.5680 5.4320 10.4808
Dy 4.5923 1.2405 0.0989
Dy 1.2868 2.0957 5.3887
Dy -0.1697 0.1107 7.9629
Dy 3.1358 3.2256 2.6731
Dy 5.4014 4.6201 0.0861
Dy 2.0958 5.3888 5.3759
Tl -3.4762 0.2478 7.9343
Tl -0.1706 3.0885 2.6444
Tl 0.1950 3.5841 7.9352
Tl 3.5005 6.4248 2.6454
O 0.0000 0.0000 0.0000
O -3.3055 3.3363 5.2898
```

Values from the calculation:
DOS(E_F), states/eV/atom: 1.007
Energy relative to the elements, uncorrected, kJ/mol of formula units: -660
Symmetry: P2_1/c, No. 14

---

(3)
Computed, not measured: a geometry-optimized Dy5Tl4O structure at the PBE level of DFT.

Structure (extended XYZ):
```
10
Lattice="-4.7179 4.7179 2.9231 4.7179 -4.7179 2.9231 4.7179 4.7179 -2.9231" Properties=species:S:1:pos:R:3 pbc="T T T"
Dy 0.0000 0.0000 0.0000
Dy 3.5482 2.6254 -0.2086
Dy 2.0926 -1.1697 2.7145
Dy 2.6254 5.8876 -0.2086
Dy 1.1697 2.0926 2.7145
Tl 6.2547 0.4510 -0.2138
Tl 0.4510 3.1811 -0.2138
Tl 4.2669 1.5368 2.7093
Tl -1.5368 4.2669 2.7093
O 0.0000 0.0000 2.4107
```

Values from the calculation:
DOS(E_F), states/eV/atom: 0.760
Energy relative to the elements, uncorrected, kJ/mol of formula units: -640
Symmetry: I4, No. 79

---

(4)
Computed, not measured: a geometry-optimized Dy2TlO structure at the PBE level of DFT.

Structure (extended XYZ):
```
16
Lattice="6.3098 0.0000 0.0000 0.0000 6.2356 0.0000 -4.8919 0.0000 9.9751" Properties=species:S:1:pos:R:3 pbc="T T T"
Dy -0.2842 1.5056 0.6674
Dy -2.7301 4.7300 5.6549
Dy -2.2203 1.0642 8.2992
Dy 0.2257 5.1714 3.3116
Dy 1.1922 1.0642 6.6634
Dy 3.6382 5.1714 1.6759
Dy 4.1480 1.5056 4.3202
Dy 1.7020 4.7300 9.3077
Tl 0.9756 2.0718 3.6903
Tl -1.4704 4.1638 8.6779
Tl 2.8883 2.0718 1.2972
Tl 0.4423 4.1638 6.2848
O -2.9674 0.6066 6.2281
O -0.5215 5.6290 1.2405
O 1.9394 0.6066 8.7345
O 4.3853 5.6290 3.7470
```

Values from the calculation:
DOS(E_F), states/eV/atom: 0.502
Energy relative to the elements, uncorrected, kJ/mol of formula units: -588
ΔE to the lowest computed polymorph, meV/atom: 32.7
Symmetry: P2/c, No. 13

---

(5)
Computed, not measured: a geometry-optimized Dy3Tl2O2 structure at the PBE level of DFT.

Structure (extended XYZ):
```
7
Lattice="6.2119 -1.9399 0.0000 6.2119 1.9399 0.0000 -3.9166 0.0000 6.8069" Properties=species:S:1:pos:R:3 pbc="T T T"
Dy 0.0000 0.0000 0.0000
Dy 3.3658 0.0000 1.4236
Dy 5.1414 0.0000 5.3833
Tl 1.9393 0.0000 4.3115
Tl 6.5680 0.0000 2.4954
O -1.7085 0.0000 6.2536
O 10.2158 0.0000 0.5533
```

Values from the calculation:
DOS(E_F), states/eV/atom: 0.423
Energy relative to the elements, uncorrected, kJ/mol of formula units: -1223
Symmetry: C2/m, No. 12

---

(6)
Computed, not measured: a geometry-optimized Dy2TlO structure at the PBE level of DFT.

Structure (extended XYZ):
```
8
Lattice="3.8502 -5.2610 0.0000 3.8502 5.2610 0.0000 0.0000 0.0000 4.5422" Properties=species:S:1:pos:R:3 pbc="T T T"
Dy 0.0000 0.0000 0.0000
Dy 1.9251 2.6305 0.0000
Dy 1.9251 -2.6305 0.0000
Dy 3.8502 0.0000 2.2711
Tl 3.8502 3.1066 2.2711
Tl 3.8502 -3.1066 2.2711
O 2.2815 0.0000 0.0000
O 5.4189 0.0000 0.0000
```

Values from the calculation:
DOS(E_F), states/eV/atom: 0.612
Energy relative to the elements, uncorrected, kJ/mol of formula units: -487
ΔE to the lowest computed polymorph, meV/atom: 292.4
Symmetry: Cmmm, No. 65

---

(7)
Computed, not measured: a geometry-optimized DyTm2TlO structure at the PBE level of DFT.

Structure (extended XYZ):
```
5
Lattice="4.6985 0.0000 0.0000 0.0000 4.6985 0.0000 0.0000 0.0000 4.8078" Properties=species:S:1:pos:R:3 pbc="T T T"
Dy 0.0000 0.0000 0.0000
Tm 0.0000 2.3492 2.4039
Tm 2.3492 0.0000 2.4039
Tl 2.3492 2.3492 0.0000
O 0.0000 0.0000 2.4039
```

Values from the calculation:
DOS(E_F), states/eV/atom: 0.344
Energy relative to the elements, uncorrected, kJ/mol of formula units: -643
Symmetry: P4/mmm, No. 123

---

(8)
Computed, not measured: a geometry-optimized DyUTl2O8 structure at the PBE level of DFT.

Structure (extended XYZ):
```
12
Lattice="3.6202 -3.7100 0.0000 3.6202 3.7100 0.0000 0.0000 0.0000 6.8805" Properties=species:S:1:pos:R:3 pbc="T T T"
Dy 0.0000 0.0000 0.0000
U 0.0000 0.0000 3.4402
Tl 3.6202 0.0000 1.7112
Tl 3.6202 0.0000 5.1693
O 3.6202 2.3976 1.8828
O 3.6202 2.3976 4.9977
O 2.1747 0.0000 3.4402
O 2.2218 0.0000 0.0000
O 5.0185 0.0000 0.0000
O 5.0656 0.0000 3.4402
O 3.6202 -2.3976 1.8828
O 3.6202 -2.3976 4.9977
```

Values from the calculation:
DOS(E_F), states/eV/atom: 0.673
Energy relative to the elements, uncorrected, kJ/mol of formula units: -2274
Symmetry: Cmmm, No. 65

---

(9)
Computed, not measured: a geometry-optimized DyUTl2O6 structure at the PBE level of DFT.

Structure (extended XYZ):
```
10
Lattice="0.0000 4.3471 4.3553 4.3435 0.0000 4.3553 4.3435 4.3471 0.0000" Properties=species:S:1:pos:R:3 pbc="T T T"
Dy 0.0000 0.0000 0.0000
U 4.3435 4.3471 4.3553
Tl 2.1717 2.1735 2.1777
Tl 6.5152 6.5206 6.5330
O 4.3435 4.3471 2.2666
O 4.3435 2.2650 4.3553
O 6.4229 4.3471 4.3553
O 2.2641 4.3471 4.3553
O 4.3435 6.4291 4.3553
O 4.3435 4.3471 6.4440
```

Values from the calculation:
DOS(E_F), states/eV/atom: 0.323
Energy relative to the elements, uncorrected, kJ/mol of formula units: -2249
Symmetry: Fmmm, No. 69

---

(10)
Computed, not measured: a geometry-optimized DyUTlO6 structure at the PBE level of DFT.

Structure (extended XYZ):
```
18
Lattice="5.6346 0.0000 0.0000 -2.8173 4.8797 0.0000 0.0000 0.0000 9.8901" Properties=species:S:1:pos:R:3 pbc="T T T"
Dy 0.0000 0.0000 0.0000
Dy 0.0000 0.0000 4.9451
U 0.0000 3.2531 2.4725
U 2.8173 1.6266 7.4176
Tl 0.0000 3.2531 7.4176
Tl 2.8173 1.6266 2.4725
O -0.8357 1.7155 1.2997
O -1.7495 3.2982 3.6453
O 0.8357 1.7155 3.6453
O -0.9137 4.7457 1.2997
O 1.9036 0.1340 6.2448
O 1.0678 1.5815 8.5904
O 1.7495 3.2982 1.2997
O 0.9137 4.7457 3.6453
O 3.7310 0.1340 8.5904
O 1.9816 3.1642 6.2448
O 4.5668 1.5815 6.2448
O 3.6530 3.1642 8.5904
```

Values from the calculation:
DOS(E_F), states/eV/atom: 0.000
Energy relative to the elements, uncorrected, kJ/mol of formula units: -2166
Symmetry: P-31c, No. 163